Compound: Ho3AgOs
Source: Alexandria
Functional: PBE
Structure: optimized geometry

a = 5.8199 Å, b = 5.8199 Å, c = 8.4420 Å
α = 102.05°, β = 102.05°, γ = 113.22°
Last column: nearest neighbours and their distance in Å.
Sites, in units of the cell vectors:
Ag: 0.7095 0.2095 0.5000  1 Ag 2.68
Os: 0.2500 0.2500 0.0000  8 Ho 2.80-3.03
Ho: 0.9242 0.7933 0.7175  2 Os 2.80, 2 Ag 3.09
Ag: 0.2905 0.7905 0.5000  1 Ag 2.68
Ho: 0.0758 0.2067 0.2825  2 Os 2.80, 2 Ag 3.09
Ho: 0.6958 0.1958 0.8916  4 Os 3.03, 2 Ag 3.34, 2 Ho 3.35
Ho: 0.3042 0.8042 0.1084  4 Os 3.03, 2 Ag 3.34, 2 Ho 3.35
Ho: 0.2933 0.4242 0.7175  2 Os 2.80, 2 Ag 3.09
Os: 0.7500 0.7500 0.0000  8 Ho 2.80-3.03
Ho: 0.7067 0.5758 0.2825  2 Os 2.80, 2 Ag 3.09

Summary:
- Energy of formation: -1.5 eV per formula unit
- Theoretical density: 10.83 g/cm³
- E_tot: -58.55 eV/cell

---

Compound: Ho5Ag4Os
Source: Alexandria
Functional: PBE
Structure: optimized geometry

a = 3.5125 Å, b = 3.5125 Å, c = 18.4515 Å
α = 90.00°, β = 90.00°, γ = 90.00°
Last column: nearest neighbours and their distance in Å.
Sites, in units of the cell vectors:
Ag: 0.0000 0.0000 0.6013  8 Ho 3.11-3.12
Ag: 0.0000 0.0000 0.3987  8 Ho 3.11-3.12
Ag: 0.0000 0.0000 0.8039  8 Ho 3.10-3.18
Ag: 0.0000 0.0000 0.1961  8 Ho 3.10-3.18
Ho: 0.5000 0.5000 0.0885  4 Os 2.97, 4 Ag 3.18, 1 Ho 3.27
Ho: 0.5000 0.5000 0.2967  8 Ag 3.10-3.12
Ho: 0.5000 0.5000 0.9115  4 Os 2.97, 4 Ag 3.18, 1 Ho 3.27
Ho: 0.5000 0.5000 0.5000  8 Ag 3.11
Os: 0.0000 0.0000 0.0000  8 Ho 2.97
Ho: 0.5000 0.5000 0.7033  8 Ag 3.10-3.12

Summary:
- Energy of formation: -3.2 eV per formula unit
- Theoretical density: 10.55 g/cm³
- E_tot: -48.68 eV/cell

---

Compound: Ho2AgOs
Source: Alexandria
Functional: PBE
Structure: optimized geometry

a = 4.9264 Å, b = 4.9264 Å, c = 4.9264 Å
α = 60.00°, β = 60.00°, γ = 60.00°
Last column: nearest neighbours and their distance in Å.
Sites, in units of the cell vectors:
Ag: 0.2500 0.2500 0.2500  8 Ho 3.02
Ho: 0.5000 0.5000 0.5000  4 Ag 3.02, 4 Os 3.02
Os: 0.7500 0.7500 0.7500  8 Ho 3.02
Ho: 0.0000 0.0000 0.0000  4 Os 3.02, 4 Ag 3.02

Summary:
- Energy of formation: -1.2 eV per formula unit
- Theoretical density: 12.33 g/cm³
- E_tot: -24.43 eV/cell

---

Number 1: N(E_F) 4.261 states/eV/f.u.. Number 2: N(E_F) 5.909 states/eV/f.u.. Number 3: N(E_F) 3.350 states/eV/f.u..